! SiTc2Ag, single point on PBEsol structure, DFT SCAN; values from VASP
! uncorrected formation energy: 221.2 meV/atom
! Fermi-level density of states: 2.6 states/eV/f.u.
! spin magnetization: 0.000 μB/cell
&SYSTEM
  ibrav = 0, nat = 4, ntyp = 3
/
ATOMIC_SPECIES
Si 28.09 Si.upf
Tc 98.00 Tc.upf
Ag 107.87 Ag.upf
CELL_PARAMETERS angstrom
4.4166 -1.4052 0.0000
4.4166 1.4052 0.0000
-0.8051 0.0000 4.5629
ATOMIC_POSITIONS crystal
Si 0.0000 0.0000 0.0000
Tc 0.4850 0.4850 0.4682
Tc 0.7395 0.7395 0.2535
Ag 0.2424 0.2424 0.7545

***

! SiTcAg, single point on PBEsol structure, DFT SCAN; values from VASP
! uncorrected formation energy: 200.9 meV/atom
! Fermi-level density of states: 2.1 states/eV/f.u.
! spin magnetization: 0.478 μB/cell
&SYSTEM
  ibrav = 0, nat = 3, ntyp = 3
/
ATOMIC_SPECIES
Si 28.09 Si.upf
Tc 98.00 Tc.upf
Ag 107.87 Ag.upf
CELL_PARAMETERS angstrom
-1.5043 1.5043 4.8502
1.5043 -1.5043 4.8502
1.5043 1.5043 -4.8502
ATOMIC_POSITIONS crystal
Si 0.0000 0.0000 0.0000
Tc 0.3820 0.3820 0.0000
Ag 0.6809 0.6809 0.0000

***

! SiTc2Ag, single point on PBEsol structure, DFT SCAN; values from VASP
! uncorrected formation energy: 166.2 meV/atom
! Fermi-level density of states: 2.4 states/eV/f.u.
! spin magnetization: 0.000 μB/cell
&SYSTEM
  ibrav = 0, nat = 4, ntyp = 3
/
ATOMIC_SPECIES
Si 28.09 Si.upf
Tc 98.00 Tc.upf
Ag 107.87 Ag.upf
CELL_PARAMETERS angstrom
2.7897 0.0000 0.0000
0.0000 3.8604 0.0000
-1.3896 0.0000 5.3557
ATOMIC_POSITIONS crystal
Si 0.0000 0.0000 0.0000
Tc 0.2152 0.0000 0.4377
Tc 0.6013 0.5000 0.2072
Ag 0.8549 0.5000 0.7190

***

! SiTcAg, single point on PBEsol structure, DFT SCAN; values from VASP
! uncorrected formation energy: 578.4 meV/atom
! Fermi-level density of states: 1.9 states/eV/f.u.
! spin magnetization: 1.150 μB/cell
&SYSTEM
  ibrav = 0, nat = 3, ntyp = 3
/
ATOMIC_SPECIES
Si 28.09 Si.upf
Tc 98.00 Tc.upf
Ag 107.87 Ag.upf
CELL_PARAMETERS angstrom
0.0000 2.9492 2.9492
2.9492 0.0000 2.9492
2.9492 2.9492 0.0000
ATOMIC_POSITIONS crystal
Si 0.0000 0.0000 0.0000
Tc 0.7500 0.7500 0.7500
Ag 0.5000 0.5000 0.5000